Record 1
Compound: Mn5P3
Source: the Alexandria database
Functional: GGA-PBE
Structure: relaxed

Mass density (Mg/m³): 6.8
ΔE to the lowest computed polymorph (eV/atom): 0.030
Magnetization (μB per formula unit): 2.9
Space-group type: P6_3/mcm, No. 193

Unit cell a=6.519 b=6.519 c=4.872 alpha=90.00 beta=90.00 gamma=120.00
Fractional coordinates of all 16 atoms:
P 0.389 0.389 0.250
P 0.611 0.000 0.250
P 0.389 0.000 0.750
P 0.611 0.611 0.750
P 0.000 0.389 0.750
P 0.000 0.611 0.250
Mn 0.255 0.000 0.250
Mn 0.667 0.333 0.000
Mn 0.255 0.255 0.750
Mn 0.333 0.667 0.500
Mn 0.745 0.000 0.750
Mn 0.667 0.333 0.500
Mn 0.333 0.667 0.000
Mn 0.000 0.255 0.250
Mn 0.745 0.745 0.250
Mn 0.000 0.745 0.750

***

Record 2
Compound: MnP2
Source: the Alexandria database
Functional: GGA-PBE
Structure: relaxed

Mass density (Mg/m³): 4.7
E_tot (eV/cell): -20.16
Magnetization (μB per formula unit): 0.0
Space-group type: I4/mmm, No. 139

Unit cell a=5.854 b=5.854 c=5.854 alpha=152.84 beta=152.84 gamma=38.78
Fractional coordinates of all 3 atoms:
P 0.876 0.876 0.000
P 0.124 0.124 0.000
Mn 0.500 0.500 0.000

***

Record 3
Compound: Mn3P4
Source: the Alexandria database
Functional: GGA-PBE
Structure: relaxed

Mass density (Mg/m³): 5.1
ΔE to the lowest computed polymorph (eV/atom): 0.468
Magnetization (μB per formula unit): 7.8
Space-group type: P6/mmm, No. 191

Unit cell a=5.071 b=5.071 c=4.206 alpha=90.00 beta=90.00 gamma=120.00
Fractional coordinates of all 7 atoms:
P 0.333 0.667 0.500
P 0.000 0.000 0.748
P 0.000 0.000 0.252
P 0.667 0.333 0.500
Mn 0.500 0.000 0.000
Mn 0.500 0.500 0.000
Mn 0.000 0.500 0.000